Here is crystalline ZrNbAs2 at its relaxed geometry from the Alexandria database. Energies are from PBE-GGA.

Unit cell a=3.8143 b=3.8143 c=18.5324 alpha=90.00 beta=90.00 gamma=120.00
Space group R-3m (No. 166, hexagonal axes)
Asymmetric unit:
Zr: 0.0000 0.0000 0.0000 x3
Nb: 0.0000 0.0000 0.5000 x3
As: 0.0000 0.0000 0.2472 x6

Results
ρ   7.1 g/cm³
Excess energy over the best structure of this formula in the dataset   0.46 eV per formula unit